[1]
Here is a relaxed Cs6TiSb4 crystal from the Alexandria database. Energies are from PBE.

space-group type	P6_3mc (186)
energy relative to the elements, uncorrected	-397.6	meV per atom

a b c (Å): 9.5126 11.8658 11.8658
angles (deg): 120.00 90.00 90.00
Closest atoms and distances in Å follow each position.
Fractional coordinates of all 22 atoms:
Cs 0.9541 0.2861 0.1431  4 Sb 3.84-3.95
Cs 0.4541 0.1431 0.2861  4 Sb 3.84-3.95
Cs 0.4541 0.7139 0.8569  4 Sb 3.84-3.95
Cs 0.6386 0.5317 0.4683  6 Sb 3.96-4.39, 1 Ti 4.21, 2 Cs 4.36
Cs 0.6386 0.9367 0.4683  6 Sb 3.96-4.39, 1 Ti 4.21, 2 Cs 4.36
Cs 0.1386 0.4683 0.5317  6 Sb 3.96-4.39, 1 Ti 4.21, 2 Cs 4.36
Cs 0.1386 0.4683 0.9367  6 Sb 3.96-4.39, 1 Ti 4.21, 2 Cs 4.36
Cs 0.9541 0.8569 0.1431  4 Sb 3.84-3.95
Cs 0.6386 0.5317 0.0633  6 Sb 3.96-4.39, 1 Ti 4.21, 2 Cs 4.36
Cs 0.4541 0.1431 0.8569  4 Sb 3.84-3.95
Cs 0.1386 0.0633 0.5317  6 Sb 3.96-4.39, 1 Ti 4.21, 2 Cs 4.36
Cs 0.9541 0.8569 0.7139  4 Sb 3.84-3.95
Sb 0.3328 0.7926 0.2074  1 Ti 2.71
Sb 0.4668 0.3333 0.6667  1 Ti 2.68
Sb 0.3328 0.4149 0.2074  1 Ti 2.71
Sb 0.8328 0.2074 0.7926  1 Ti 2.71
Sb 0.8328 0.2074 0.4149  1 Ti 2.71
Sb 0.8328 0.5851 0.7926  1 Ti 2.71
Sb 0.3328 0.7926 0.5851  1 Ti 2.71
Sb 0.9668 0.6667 0.3333  1 Ti 2.68
Ti 0.2490 0.6667 0.3333  4 Sb 2.68-2.71
Ti 0.7490 0.3333 0.6667  4 Sb 2.68-2.71

***

[2]
Here is a relaxed Cs2TiSb crystal from the Alexandria database. Energies are from PBE.

space-group type	Fm-3m (225)
energy relative to the elements, uncorrected	748.5	meV per atom

a b c (Å): 6.3062 6.3062 6.3062
angles (deg): 60.00 60.00 60.00
Closest atoms and distances in Å follow each position.
Fractional coordinates of all 4 atoms:
Cs 0.2500 0.2500 0.2500  4 Ti 3.86, 4 Sb 3.86
Cs 0.7500 0.7500 0.7500  4 Sb 3.86, 4 Ti 3.86
Sb 0.5000 0.5000 0.5000  8 Cs 3.86
Ti 0.0000 0.0000 0.0000  8 Cs 3.86

***

[3]
Here is a relaxed CsTiSb3 crystal from the Alexandria database. Energies are from PBE.

space-group type	Pm-3m (221)
energy relative to the elements, uncorrected	1909.8	meV per atom
distance to the lowest polymorph of the same formula	2079	meV per atom

a b c (Å): 5.9593 5.9593 5.9593
angles (deg): 90.00 90.00 90.00
Closest atoms and distances in Å follow each position.
Fractional coordinates of all 5 atoms:
Sb 0.5000 0.0000 0.0000  2 Cs 2.98
Sb 0.0000 0.5000 0.0000  2 Cs 2.98
Sb 0.0000 0.0000 0.5000  2 Cs 2.98
Ti 0.5000 0.5000 0.5000  12 Sb 4.21
Cs 0.0000 0.0000 0.0000  6 Sb 2.98

***

[4]
Here is a relaxed CsTi2Sb2 crystal from the Alexandria database. Energies are from PBE.

space-group type	I4/mmm (139)
energy relative to the elements, uncorrected	-351.5	meV per atom

a b c (Å): 4.5187 4.5187 8.6502
angles (deg): 74.86 74.86 90.00
Closest atoms and distances in Å follow each position.
Fractional coordinates of all 5 atoms:
Sb 0.3481 0.3481 0.3038  4 Ti 2.76
Sb 0.6519 0.6519 0.6962  4 Ti 2.76
Cs 0.0000 0.0000 0.0000  8 Sb 4.02
Ti 0.7500 0.2500 0.5000  4 Sb 2.76
Ti 0.2500 0.7500 0.5000  4 Sb 2.76

***

[5]
Here is a relaxed CsTiSb3 crystal from the Alexandria database. Energies are from PBE.

space-group type	Pm-3m (221)
energy relative to the elements, uncorrected	-169.3	meV per atom
distance to the lowest polymorph of the same formula	0	meV per atom

a b c (Å): 5.4434 5.4434 5.4434
angles (deg): 90.00 90.00 90.00
Closest atoms and distances in Å follow each position.
Fractional coordinates of all 5 atoms:
Cs 0.5000 0.5000 0.5000  12 Sb 3.85
Sb 0.0000 0.5000 0.0000  2 Ti 2.72
Sb 0.0000 0.0000 0.5000  2 Ti 2.72
Sb 0.5000 0.0000 0.0000  2 Ti 2.72
Ti 0.0000 0.0000 0.0000  6 Sb 2.72

***

[6]
Here is a relaxed CsTiSb crystal from the Alexandria database. Energies are from PBE.

space-group type	R-3m (166)
energy relative to the elements, uncorrected	-215.5	meV per atom

a b c (Å): 4.5117 4.5117 14.5431
angles (deg): 81.08 81.08 60.00
Closest atoms and distances in Å follow each position.
Fractional coordinates of all 6 atoms:
Cs 0.1077 0.1077 0.6770  3 Sb 3.74
Cs 0.8923 0.8923 0.3230  3 Sb 3.74
Ti 0.3136 0.3136 0.0593  4 Sb 2.79-2.82, 3 Ti 3.11
Ti 0.6864 0.6864 0.9407  4 Sb 2.79-2.82, 3 Ti 3.11
Sb 0.3785 0.3785 0.8645  4 Ti 2.79-2.82
Sb 0.6215 0.6215 0.1355  4 Ti 2.79-2.82

***

[7]
Here is a relaxed Cs2TiSb2 crystal from the Alexandria database. Energies are from PBE.

space-group type	P4/mbm (127)
energy relative to the elements, uncorrected	637.8	meV per atom
distance to the lowest polymorph of the same formula	766	meV per atom

a b c (Å): 10.9845 10.9845 3.3716
angles (deg): 90.00 90.00 90.00
Closest atoms and distances in Å follow each position.
Fractional coordinates of all 10 atoms:
Cs 0.8842 0.6158 0.0000  3 Cs 3.37-3.60, 6 Sb 3.55-3.76
Cs 0.3842 0.8842 0.0000  3 Cs 3.37-3.60, 6 Sb 3.55-3.76
Cs 0.6158 0.1158 0.0000  3 Cs 3.37-3.60, 6 Sb 3.55-3.76
Cs 0.1158 0.3842 0.0000  3 Cs 3.37-3.60, 6 Sb 3.55-3.76
Sb 0.8169 0.3169 0.5000  2 Sb 3.37, 6 Cs 3.55-3.76
Sb 0.3169 0.1831 0.5000  2 Sb 3.37, 6 Cs 3.55-3.76
Sb 0.1831 0.6831 0.5000  2 Sb 3.37, 6 Cs 3.55-3.76
Sb 0.6831 0.8169 0.5000  2 Sb 3.37, 6 Cs 3.55-3.76
Ti 0.0000 0.0000 0.0000  2 Ti 3.37
Ti 0.5000 0.5000 0.0000  2 Ti 3.37

***

[8]
Here is a relaxed Cs3TiSb crystal from the Alexandria database. Energies are from PBE.

space-group type	Pm-3m (221)
energy relative to the elements, uncorrected	692.1	meV per atom
distance to the lowest polymorph of the same formula	0	meV per atom

a b c (Å): 7.4145 7.4145 7.4145
angles (deg): 90.00 90.00 90.00
Closest atoms and distances in Å follow each position.
Fractional coordinates of all 5 atoms:
Cs 0.0000 0.5000 0.0000  2 Sb 3.71
Cs 0.5000 0.0000 0.0000  2 Sb 3.71
Cs 0.0000 0.0000 0.5000  2 Sb 3.71
Sb 0.0000 0.0000 0.0000  6 Cs 3.71
Ti 0.5000 0.5000 0.5000  12 Cs 5.24

***

[9]
Here is a relaxed Cs2TiSb2 crystal from the Alexandria database. Energies are from PBE.

space-group type	I4/mmm (139)
energy relative to the elements, uncorrected	548.4	meV per atom
distance to the lowest polymorph of the same formula	677	meV per atom

a b c (Å): 4.2439 4.2439 13.1911
angles (deg): 80.74 80.74 90.00
Closest atoms and distances in Å follow each position.
Fractional coordinates of all 5 atoms:
Ti 0.0000 0.0000 0.0000  4 Ti 4.24, 8 Cs 4.28
Cs 0.3810 0.3810 0.2381  4 Sb 3.98, 4 Cs 4.24, 4 Ti 4.28
Cs 0.6190 0.6190 0.7619  4 Sb 3.98, 4 Cs 4.24, 4 Ti 4.28
Sb 0.7500 0.2500 0.5000  4 Sb 3.00
Sb 0.2500 0.7500 0.5000  4 Sb 3.00

***

[10]
Here is a relaxed Cs2TiSb2 crystal from the Alexandria database. Energies are from PBE.

space-group type	P4/mbm (127)
energy relative to the elements, uncorrected	-128.2	meV per atom
distance to the lowest polymorph of the same formula	0	meV per atom

a b c (Å): 7.5493 7.5493 6.4995
angles (deg): 90.00 90.00 90.00
Closest atoms and distances in Å follow each position.
Fractional coordinates of all 10 atoms:
Sb 0.6423 0.1423 0.0000  2 Ti 2.91, 1 Sb 3.04
Sb 0.3577 0.8577 0.0000  2 Ti 2.91, 1 Sb 3.04
Sb 0.1423 0.3577 0.0000  2 Ti 2.91, 1 Sb 3.04
Sb 0.8577 0.6423 0.0000  2 Ti 2.91, 1 Sb 3.04
Cs 0.8284 0.3284 0.5000  5 Cs 3.66-3.96, 6 Sb 3.81-4.03
Cs 0.1716 0.6716 0.5000  5 Cs 3.66-3.96, 6 Sb 3.81-4.03
Cs 0.6716 0.8284 0.5000  5 Cs 3.66-3.96, 6 Sb 3.81-4.03
Cs 0.3284 0.1716 0.5000  5 Cs 3.66-3.96, 6 Sb 3.81-4.03
Ti 0.0000 0.0000 0.0000  4 Sb 2.91
Ti 0.5000 0.5000 0.0000  4 Sb 2.91

***

[11]
Here is a relaxed CsTiTlSb2 crystal from the Alexandria database. Energies are from PBE.

space-group type	P4/mmm (123)
energy relative to the elements, uncorrected	-198.7	meV per atom

a b c (Å): 5.4081 5.4081 5.6700
angles (deg): 90.00 90.00 90.00
Closest atoms and distances in Å follow each position.
Fractional coordinates of all 5 atoms:
Tl 0.0000 0.0000 0.5000  2 Ti 2.84
Sb 0.0000 0.5000 0.0000  2 Ti 2.70
Sb 0.5000 0.0000 0.0000  2 Ti 2.70
Ti 0.0000 0.0000 0.0000  4 Sb 2.70, 2 Tl 2.84
Cs 0.5000 0.5000 0.5000  4 Tl 3.82, 8 Sb 3.92

***

[12]
Here is a relaxed CsTiTl2Sb crystal from the Alexandria database. Energies are from PBE.

space-group type	P4/mmm (123)
energy relative to the elements, uncorrected	1587.6	meV per atom
distance to the lowest polymorph of the same formula	1682	meV per atom

a b c (Å): 6.1786 6.3812 6.1786
angles (deg): 90.00 90.00 90.00
Closest atoms and distances in Å follow each position.
Fractional coordinates of all 5 atoms:
Ti 0.5000 0.5000 0.5000  4 Sb 4.37, 8 Tl 4.44
Sb 0.0000 0.5000 0.0000  2 Cs 3.19
Cs 0.0000 0.0000 0.0000  4 Tl 3.09, 2 Sb 3.19
Tl 0.5000 0.0000 0.0000  2 Cs 3.09
Tl 0.0000 0.0000 0.5000  2 Cs 3.09

***

[13]
Here is a relaxed CsTiTl2Sb crystal from the Alexandria database. Energies are from PBE.

space-group type	P4/mmm (123)
energy relative to the elements, uncorrected	-94.5	meV per atom
distance to the lowest polymorph of the same formula	0	meV per atom

a b c (Å): 5.6386 5.6386 5.3786
angles (deg): 90.00 90.00 90.00
Closest atoms and distances in Å follow each position.
Fractional coordinates of all 5 atoms:
Cs 0.5000 0.5000 0.5000  8 Tl 3.90, 4 Sb 3.99
Sb 0.0000 0.0000 0.5000  2 Ti 2.69
Ti 0.0000 0.0000 0.0000  2 Sb 2.69, 4 Tl 2.82
Tl 0.5000 0.0000 0.0000  2 Ti 2.82
Tl 0.0000 0.5000 0.0000  2 Ti 2.82